1.
Computed, not measured: crystalline SrIn2SnRu at its relaxed geometry at the PBE level of DFT.

Energy above the lowest structure with this stoichiometry, meV/atom: 0
E, eV/atom: -4.2584
Formation energy from the elements, eV/atom: -0.171

a b c (Å): 5.1846 5.1846 5.1548
angles (deg): 90.00 90.00 90.00
Last column: nearest neighbours and their distance in Å.
Fractional positions:
1 Sr 0.0000 0.0000 0.0000  8 In 3.66, 4 Sn 3.67
2 In 0.0000 0.5000 0.5000  2 Ru 2.59
3 In 0.5000 0.0000 0.5000  2 Ru 2.59
4 Sn 0.5000 0.5000 0.0000  2 Ru 2.58
5 Ru 0.5000 0.5000 0.5000  2 Sn 2.58, 4 In 2.59

2.
Computed, not measured: crystalline SrIn2SnRu at its relaxed geometry at the PBE level of DFT.

Energy above the lowest structure with this stoichiometry, meV/atom: 1219
E, eV/atom: -3.0391
Formation energy from the elements, eV/atom: 1.048

a b c (Å): 5.5464 5.5464 6.2008
angles (deg): 90.00 90.00 90.00
Last column: nearest neighbours and their distance in Å.
Fractional positions:
1 Sr 0.0000 0.0000 0.0000  2 Sn 3.10
2 In 0.0000 0.5000 0.5000  2 Sn 2.77
3 In 0.5000 0.0000 0.5000  2 Sn 2.77
4 Sn 0.0000 0.0000 0.5000  4 In 2.77, 2 Sr 3.10
5 Ru 0.5000 0.5000 0.0000  4 Sr 3.92, 8 In 4.16